No. 1
This record from the Alexandria database describes a relaxed CrPAu3 crystal. The functional is PBE.

Results
E above lowest polymorph: 0.000 eV/atom
space-group type: Pm-3m (221)

Unit cell a=4.716 b=4.716 c=4.716 alpha=90.00 beta=90.00 gamma=90.00
Fractional coordinates of all 5 atoms:
Cr1 0.000 0.000 0.000
P1 0.500 0.500 0.500
Au1 0.000 0.500 0.500
Au2 0.500 0.000 0.500
Au3 0.500 0.500 0.000



No. 2
This record from the Alexandria database describes a relaxed Cr2PAu crystal. The functional is PBE.

Results
energy: -6.877 eV per atom
space-group type: P4mm (99)

Unit cell a=2.977 b=2.977 c=6.571 alpha=90.00 beta=90.00 gamma=90.00
Fractional coordinates of all 4 atoms:
Cr1 0.000 0.000 0.000
Cr2 0.500 0.500 0.242
P1 0.000 0.000 0.396
Au1 0.500 0.500 0.719



No. 3
This record from the Alexandria database describes a relaxed Cr2PAu crystal. The functional is PBE.

Results
energy: -6.757 eV per atom
space-group type: R3m (160)

Unit cell a=8.526 b=8.526 c=8.526 alpha=19.18 beta=19.18 gamma=19.18
Fractional coordinates of all 4 atoms:
Cr1 0.000 0.000 0.000
Cr2 0.262 0.262 0.262
P1 0.734 0.734 0.734
Au1 0.505 0.505 0.505



No. 4
This record from the Alexandria database describes a relaxed Cr3PAu crystal. The functional is PBE.

Results
E above lowest polymorph: 0.000 eV/atom
space-group type: Pm-3m (221)

Unit cell a=4.203 b=4.203 c=4.203 alpha=90.00 beta=90.00 gamma=90.00
Fractional coordinates of all 5 atoms:
Cr1 0.000 0.000 0.500
Cr2 0.000 0.500 0.000
Cr3 0.500 0.000 0.000
P1 0.000 0.000 0.000
Au1 0.500 0.500 0.500



No. 5
This record from the Alexandria database describes a relaxed Cr2PAu crystal. The functional is PBE.

Results
energy: -6.704 eV per atom
space-group type: I-42d (122)

Unit cell a=5.567 b=5.567 c=5.567 alpha=104.10 beta=104.10 gamma=120.84
Fractional coordinates of all 8 atoms:
Cr1 0.076 0.625 0.951
Cr2 0.375 0.326 0.451
Cr3 0.674 0.125 0.049
Cr4 0.875 0.924 0.549
P1 0.000 0.000 0.000
P2 0.750 0.250 0.500
Au1 0.250 0.750 0.500
Au2 0.500 0.500 0.000



No. 6
This record from the Alexandria database describes a relaxed Cr2PAu crystal. The functional is PBE.

Results
energy: -6.902 eV per atom
space-group type: P2/m (10)

Unit cell a=2.954 b=3.440 c=5.563 alpha=90.00 beta=100.13 gamma=90.00
Fractional coordinates of all 4 atoms:
Cr1 0.080 0.000 0.320
Cr2 0.920 0.000 0.680
P1 0.500 0.500 0.500
Au1 0.500 0.500 0.000



No. 7
This record from the Alexandria database describes a relaxed Cr2PAu crystal. The functional is PBE.

Results
energy: -6.702 eV per atom
space-group type: P4/mmm (123)

Unit cell a=3.970 b=3.970 c=3.558 alpha=90.00 beta=90.00 gamma=90.00
Fractional coordinates of all 4 atoms:
Cr1 0.000 0.500 0.000
Cr2 0.500 0.000 0.000
P1 0.000 0.000 0.500
Au1 0.500 0.500 0.500



No. 8
This record from the Alexandria database describes a relaxed Cr2PAu crystal. The functional is PBE.

Results
energy: -6.619 eV per atom
space-group type: I-4m2 (119)

Unit cell a=4.780 b=4.780 c=4.780 alpha=134.10 beta=134.10 gamma=66.94
Fractional coordinates of all 4 atoms:
Cr1 0.000 0.000 0.000
Cr2 0.750 0.250 0.500
P1 0.250 0.750 0.500
Au1 0.500 0.500 0.000



No. 9
This record from the Alexandria database describes a relaxed Cr2PAu crystal. The functional is PBE.

Results
energy: -6.860 eV per atom
space-group type: Cm (8)

Unit cell a=4.430 b=4.430 c=4.883 alpha=92.51 beta=92.51 gamma=39.92
Fractional coordinates of all 4 atoms:
Cr1 0.000 0.000 0.000
Cr2 0.722 0.722 0.207
P1 0.269 0.269 0.856
Au1 0.456 0.456 0.485



No. 10
This record from the Alexandria database describes a relaxed Cr2PAu crystal. The functional is PBE.

Results
energy: -6.996 eV per atom
space-group type: P4/mmm (123)

Unit cell a=2.855 b=2.855 c=6.498 alpha=90.00 beta=90.00 gamma=90.00
Fractional coordinates of all 4 atoms:
Cr1 0.000 0.000 0.196
Cr2 0.000 0.000 0.804
P1 0.500 0.500 0.000
Au1 0.500 0.500 0.500



No. 11
This record from the Alexandria database describes a relaxed Cr2PAu crystal. The functional is PBE.

Results
energy: -6.832 eV per atom
space-group type: C2/m (12)

Unit cell a=4.065 b=4.065 c=4.721 alpha=112.41 beta=112.41 gamma=54.87
Fractional coordinates of all 4 atoms:
Cr1 0.205 0.205 0.122
Cr2 0.795 0.795 0.878
P1 0.500 0.500 0.000
Au1 0.000 0.000 0.500



No. 12
This record from the Alexandria database describes a relaxed CrP3Au crystal. The functional is PBE.

Results
E above lowest polymorph: 0.000 eV/atom
space-group type: Pm-3m (221)

Unit cell a=4.435 b=4.435 c=4.435 alpha=90.00 beta=90.00 gamma=90.00
Fractional coordinates of all 5 atoms:
Cr1 0.000 0.000 0.000
P1 0.000 0.000 0.500
P2 0.000 0.500 0.000
P3 0.500 0.000 0.000
Au1 0.500 0.500 0.500



No. 13
This record from the Alexandria database describes a relaxed Cr2PAu crystal. The functional is PBE.

Results
energy: -6.842 eV per atom
space-group type: Imm2 (44)

Unit cell a=5.260 b=5.260 c=5.260 alpha=144.59 beta=134.47 gamma=58.96
Fractional coordinates of all 4 atoms:
Cr1 0.000 0.000 0.000
Cr2 0.683 0.183 0.500
P1 0.192 0.692 0.500
Au1 0.413 0.413 0.000



No. 14
This record from the Alexandria database describes a relaxed Cr3PAu crystal. The functional is PBE.

Results
E above lowest polymorph: 0.874 eV/atom
space-group type: Pm-3m (221)

Unit cell a=4.950 b=4.950 c=4.950 alpha=90.00 beta=90.00 gamma=90.00
Fractional coordinates of all 5 atoms:
Cr1 0.000 0.000 0.500
Cr2 0.000 0.500 0.000
Cr3 0.500 0.000 0.000
P1 0.500 0.500 0.500
Au1 0.000 0.000 0.000



No. 15
This record from the Alexandria database describes a relaxed Cr2PAu crystal. The functional is PBE.

Results
energy: -6.702 eV per atom
space-group type: Cmmm (65)

Unit cell a=4.378 b=4.378 c=3.107 alpha=90.00 beta=90.00 gamma=103.15
Fractional coordinates of all 4 atoms:
Cr1 0.000 0.500 0.000
Cr2 0.500 0.000 0.000
P1 0.000 0.000 0.500
Au1 0.500 0.500 0.500



No. 16
This record from the Alexandria database describes a relaxed Cr2PRhAu crystal. The functional is PBE.

Results
energy: -5.551 eV per atom
space-group type: P4/mmm (123)

Unit cell a=4.885 b=4.885 c=4.899 alpha=90.00 beta=90.00 gamma=90.00
Fractional coordinates of all 5 atoms:
Cr1 0.000 0.500 0.000
Cr2 0.500 0.000 0.000
P1 0.000 0.000 0.500
Rh1 0.500 0.500 0.500
Au1 0.500 0.500 0.000



No. 17
This record from the Alexandria database describes a relaxed CrPRhAu2 crystal. The functional is PBE.

Results
energy: -4.774 eV per atom
space-group type: P4/mmm (123)

Unit cell a=4.813 b=4.813 c=4.205 alpha=90.00 beta=90.00 gamma=90.00
Fractional coordinates of all 5 atoms:
Cr1 0.000 0.000 0.000
P1 0.000 0.000 0.500
Rh1 0.500 0.500 0.500
Au1 0.000 0.500 0.000
Au2 0.500 0.000 0.000



No. 18
This record from the Alexandria database describes a relaxed CrPAuS2 crystal. The functional is PBE.

Results
E above lowest polymorph: 1.024 eV/atom
space-group type: P4/mmm (123)
formation energy (no corrections): 7.4 eV per formula unit

Unit cell a=4.880 b=4.880 c=4.630 alpha=90.00 beta=90.00 gamma=90.00
Fractional coordinates of all 5 atoms:
Cr1 0.000 0.000 0.000
P1 0.500 0.500 0.000
Au1 0.500 0.500 0.500
S1 0.000 0.500 0.500
S2 0.500 0.000 0.500



No. 19
This record from the Alexandria database describes a relaxed CrPAuS2 crystal. The functional is PBE.

Results
E above lowest polymorph: 0.000 eV/atom
space-group type: P4/mmm (123)
formation energy (no corrections): 2.2 eV per formula unit

Unit cell a=4.327 b=4.327 c=4.829 alpha=90.00 beta=90.00 gamma=90.00
Fractional coordinates of all 5 atoms:
Cr1 0.000 0.000 0.000
P1 0.000 0.000 0.500
Au1 0.500 0.500 0.500
S1 0.000 0.500 0.000
S2 0.500 0.000 0.000



No. 20
This record from the Alexandria database describes a relaxed CrTe2PAu crystal. The functional is PBE.

Results
space-group type: P4/mmm (123)
formation energy (no corrections): 2.3 eV per formula unit

Unit cell a=5.202 b=5.202 c=4.238 alpha=90.00 beta=90.00 gamma=90.00
Fractional coordinates of all 5 atoms:
Cr1 0.000 0.000 0.000
Te1 0.000 0.500 0.000
Te2 0.500 0.000 0.000
P1 0.000 0.000 0.500
Au1 0.500 0.500 0.500



No. 21
This record from the Alexandria database describes a relaxed PaCrAu crystal. The functional is PBE.

Results
energy: -7.403 eV per atom
space-group type: C2/m (12)

Unit cell a=5.471 b=5.471 c=6.726 alpha=94.72 beta=94.72 gamma=35.58
Fractional coordinates of all 6 atoms:
Pa1 0.088 0.088 0.304
Pa2 0.912 0.912 0.696
Cr1 0.188 0.188 0.601
Cr2 0.812 0.812 0.399
Au1 0.367 0.367 0.081
Au2 0.633 0.633 0.919



No. 22
This record from the Alexandria database describes a relaxed Cr2PbAu crystal. The functional is PBE.

Results
energy: -6.058 eV per atom
space-group type: Cm (8)

Unit cell a=5.423 b=5.423 c=4.703 alpha=104.73 beta=104.73 gamma=36.40
Fractional coordinates of all 4 atoms:
Cr1 0.000 0.000 0.000
Cr2 0.229 0.229 0.653
Pb1 0.753 0.753 0.173
Au1 0.501 0.501 0.525



No. 23
This record from the Alexandria database describes a relaxed CrPb2Au crystal. The functional is PBE.

Results
E above lowest polymorph: 0.000 eV/atom
space-group type: P4mm (99)

Unit cell a=3.443 b=3.443 c=8.082 alpha=90.00 beta=90.00 gamma=90.00
Fractional coordinates of all 4 atoms:
Cr1 0.000 0.000 0.000
Pb1 0.000 0.000 0.588
Pb2 0.500 0.500 0.232
Au1 0.500 0.500 0.831



No. 24
This record from the Alexandria database describes a relaxed Cr2PbAu crystal. The functional is PBE.

Results
energy: -5.876 eV per atom
space-group type: I-42d (122)

Unit cell a=6.123 b=6.123 c=6.123 alpha=104.02 beta=104.02 gamma=121.02
Fractional coordinates of all 8 atoms:
Cr1 0.108 0.625 0.983
Cr2 0.375 0.358 0.483
Cr3 0.642 0.125 0.017
Cr4 0.875 0.892 0.517
Pb1 0.250 0.750 0.500
Pb2 0.500 0.500 0.000
Au1 0.000 0.000 0.000
Au2 0.750 0.250 0.500



No. 25
This record from the Alexandria database describes a relaxed Cr2PbAu crystal. The functional is PBE.

Results
energy: -6.129 eV per atom
space-group type: P4/mmm (123)

Unit cell a=3.305 b=3.305 c=7.081 alpha=90.00 beta=90.00 gamma=90.00
Fractional coordinates of all 4 atoms:
Cr1 0.000 0.000 0.221
Cr2 0.000 0.000 0.779
Pb1 0.500 0.500 0.500
Au1 0.500 0.500 0.000



No. 26
This record from the Alexandria database describes a relaxed Cr2PbAu crystal. The functional is PBE.

Results
energy: -6.117 eV per atom
space-group type: F-43m (216)

Unit cell a=4.758 b=4.758 c=4.758 alpha=60.00 beta=60.00 gamma=60.00
Fractional coordinates of all 4 atoms:
Cr1 0.000 0.000 0.000
Cr2 0.250 0.250 0.250
Pb1 0.500 0.500 0.500
Au1 0.750 0.750 0.750



No. 27
This record from the Alexandria database describes a relaxed CrPb2Au crystal. The functional is PBE.

Results
E above lowest polymorph: 0.184 eV/atom
space-group type: C2/m (12)

Unit cell a=5.059 b=5.059 c=5.796 alpha=102.18 beta=102.18 gamma=41.39
Fractional coordinates of all 4 atoms:
Cr1 0.000 0.000 0.000
Pb1 0.248 0.248 0.752
Pb2 0.752 0.752 0.248
Au1 0.500 0.500 0.500



No. 28
This record from the Alexandria database describes a relaxed Cr2PbAu crystal. The functional is PBE.

Results
energy: -6.002 eV per atom
space-group type: C2/m (12)

Unit cell a=5.003 b=5.003 c=5.503 alpha=107.79 beta=107.79 gamma=35.52
Fractional coordinates of all 4 atoms:
Cr1 0.250 0.250 0.140
Cr2 0.750 0.750 0.860
Pb1 0.000 0.000 0.500
Au1 0.500 0.500 0.000



No. 29
This record from the Alexandria database describes a relaxed CrPb2Au crystal. The functional is PBE.

Results
E above lowest polymorph: 0.244 eV/atom
space-group type: I-42d (122)

Unit cell a=6.483 b=6.483 c=6.483 alpha=103.56 beta=103.56 gamma=122.09
Fractional coordinates of all 8 atoms:
Cr1 0.000 0.000 0.000
Cr2 0.750 0.250 0.500
Pb1 0.133 0.625 0.008
Pb2 0.375 0.383 0.508
Pb3 0.617 0.125 0.992
Pb4 0.875 0.867 0.492
Au1 0.250 0.750 0.500
Au2 0.500 0.500 0.000



Number 1: DOS(E_F) 1.90 states/eV per cell, spin magnetization 0.9178 μB/atom. Number 2: DOS(E_F) 3.42 states/eV per cell, spin magnetization 0.4670 μB/atom. Number 3: DOS(E_F) 2.47 states/eV per cell, spin magnetization 0.3145 μB/atom. Number 4: DOS(E_F) 7.65 states/eV per cell, spin magnetization 0.0000 μB/atom. Number 5: DOS(E_F) 4.28 states/eV per cell, spin magnetization 1.5010 μB/atom. Number 6: DOS(E_F) 4.07 states/eV per cell, spin magnetization 0.0000 μB/atom. Number 7: DOS(E_F) 2.19 states/eV per cell, spin magnetization 1.0367 μB/atom. Number 8: DOS(E_F) 3.98 states/eV per cell, spin magnetization 0.8358 μB/atom. Number 9: DOS(E_F) 2.67 states/eV per cell, spin magnetization 0.0213 μB/atom. Number 10: DOS(E_F) 4.62 states/eV per cell, spin magnetization 0.2954 μB/atom. Number 11: DOS(E_F) 3.47 states/eV per cell, spin magnetization 0.0000 μB/atom. Number 12: DOS(E_F) 3.79 states/eV per cell, spin magnetization 0.0000 μB/atom. Number 13: DOS(E_F) 2.35 states/eV per cell, spin magnetization 0.0566 μB/atom. Number 14: DOS(E_F) 6.67 states/eV per cell, spin magnetization 2.5523 μB/atom. Number 15: DOS(E_F) 4.37 states/eV per cell, spin magnetization 1.2768 μB/atom. Number 16: DOS(E_F) 5.02 states/eV per cell, spin magnetization 1.6501 μB/atom. Number 17: DOS(E_F) 6.54 states/eV per cell, spin magnetization 0.0000 μB/atom. Number 18: DOS(E_F) 8.61 states/eV per cell, spin magnetization 0.0374 μB/atom. Number 19: DOS(E_F) 3.44 states/eV per cell, spin magnetization 0.0001 μB/atom. Number 20: DOS(E_F) 5.17 states/eV per cell, spin magnetization 0.0000 μB/atom. Number 21: DOS(E_F) 5.23 states/eV per cell, spin magnetization 0.0000 μB/atom. Number 22: DOS(E_F) 2.68 states/eV per cell, spin magnetization 2.0225 μB/atom. Number 23: DOS(E_F) 2.26 states/eV per cell, spin magnetization 0.9701 μB/atom. Number 24: DOS(E_F) 6.47 states/eV per cell, spin magnetization 2.0428 μB/atom. Number 25: DOS(E_F) 3.24 states/eV per cell, spin magnetization 1.9377 μB/atom. Number 26: DOS(E_F) 3.15 states/eV per cell, spin magnetization 0.0276 μB/atom. Number 27: DOS(E_F) 1.76 states/eV per cell, spin magnetization 1.1013 μB/atom. Number 28: DOS(E_F) 3.46 states/eV per cell, spin magnetization 0.0000 μB/atom. Number 29: DOS(E_F) 4.85 states/eV per cell, spin magnetization 1.0514 μB/atom.